Material: CaSc2Ta
Method: DFT, PBE
State: relaxed

Formation energy, kJ per mole of atoms: 42.7
Calculated total energy, eV per atom: -6.187
Relative energy among the computed polymorphs, meV/atom: 226
D(E_F), states/eV/cell: 5.9

```
4
Lattice="5.430 0.001 0.000 1.338 5.263 0.000 -3.384 -2.632 3.333" Properties=species:S:1:pos:R:3 pbc="T T T"
Sc 0.000 0.000 0.000
Sc 3.384 2.632 0.000
Ca 2.715 0.001 1.666
Ta 0.669 2.631 1.666
```



Material: ScPtS3
Method: DFT, PBE
State: relaxed

Calculated total energy, eV per atom: -5.143
Relative energy among the computed polymorphs, meV/atom: 0
D(E_F), states/eV/cell: 1.6

```
5
Lattice="4.681 0.000 0.000 0.000 4.681 0.000 0.000 0.000 4.681" Properties=species:S:1:pos:R:3 pbc="T T T"
Sc 2.341 2.341 2.341
S 0.000 2.341 0.000
S 0.000 0.000 2.341
S 2.341 0.000 0.000
Pt 0.000 0.000 0.000
```



Material: Ni2IrOs
Method: DFT, PBE
State: relaxed

Formation energy, kJ per mole of atoms: 12.2
Calculated total energy, eV per atom: -7.787
Relative energy among the computed polymorphs, meV/atom: 108
D(E_F), states/eV/cell: 3.8

```
4
Lattice="2.649 0.000 0.000 0.000 2.649 0.000 0.000 0.000 7.257" Properties=species:S:1:pos:R:3 pbc="T T T"
Ir 1.325 1.325 5.443
Ni 0.000 0.000 0.026
Ni 0.000 0.000 3.603
Os 1.325 1.325 1.814
```



Material: KNa4Hg4
Method: DFT, PBE
State: relaxed

Formation energy, kJ per mole of atoms: -16.3
Calculated total energy, eV per atom: -1.011
Relative energy among the computed polymorphs, meV/atom: 24
D(E_F), states/eV/cell: 5.6

```
18
Lattice="-1.066 4.410 3.442 -6.262 -5.617 5.257 7.465 -2.800 5.901" Properties=species:S:1:pos:R:3 pbc="T T T"
K 0.000 0.000 0.000
K 0.068 -2.003 7.300
Na 3.256 -2.511 8.905
Na 1.690 -1.795 12.214
Na -3.112 -1.527 5.671
Na 4.278 -2.293 4.296
Na -1.485 -4.215 9.685
Na -3.082 -6.094 6.886
Na -2.612 2.168 5.804
Na 1.614 0.239 4.938
Hg -4.645 -3.405 7.661
Hg 4.776 -0.578 6.957
Hg 0.073 -5.624 7.255
Hg 1.691 0.184 9.686
Hg -2.615 0.195 8.337
Hg -1.056 0.766 3.378
Hg 1.198 -4.797 11.203
Hg 1.124 -2.769 3.922
```



Material: Nd3Y2Cd3
Method: DFT, PBE
State: relaxed

Formation energy, kJ per mole of atoms: -22.9
Calculated total energy, eV per atom: -3.985
D(E_F), states/eV/cell: 11.4

```
8
Lattice="3.793 0.000 0.000 0.000 5.525 0.000 -1.897 -2.762 11.304" Properties=species:S:1:pos:R:3 pbc="T T T"
Nd 1.897 2.762 2.788
Nd 0.000 0.000 8.516
Nd 1.897 0.000 0.000
Y 1.897 0.000 5.294
Y 0.000 2.762 6.010
Cd 0.000 0.000 2.726
Cd 0.000 2.762 0.000
Cd 1.897 2.762 8.579
```



Material: Np2Si3Pt4Rh
Method: DFT, PBE
State: relaxed

Calculated total energy, eV per atom: -8.008
D(E_F), states/eV/cell: 19.0

```
10
Lattice="3.962 0.000 0.000 0.000 3.962 0.000 0.000 0.000 11.253" Properties=species:S:1:pos:R:3 pbc="T T T"
Np 1.981 0.000 2.886
Np 0.000 1.981 8.367
Si 0.000 0.000 5.627
Si 1.981 0.000 9.804
Si 0.000 1.981 1.449
Pt 1.981 1.981 0.000
Pt 0.000 0.000 0.000
Pt 1.981 0.000 7.464
Pt 0.000 1.981 3.789
Rh 1.981 1.981 5.627
```



Material: LaSm4Ga5
Method: DFT, PBE
State: relaxed

Formation energy, kJ per mole of atoms: -55.2
Calculated total energy, eV per atom: -4.466
D(E_F), states/eV/cell: 4.8

```
10
Lattice="-2.387 2.203 1.700 -0.567 -2.578 2.544 13.694 7.006 10.151" Properties=species:S:1:pos:R:3 pbc="T T T"
La 0.000 0.000 0.000
Sm 2.802 1.434 2.077
Sm 5.497 2.812 4.075
Sm 8.197 4.194 6.076
Sm 10.891 5.572 8.073
Ga 0.001 0.568 3.217
Ga 2.676 1.937 5.200
Ga 5.370 3.315 7.197
Ga 8.064 4.694 9.194
Ga 10.739 6.062 11.177
```



Material: Dy2TmSbN4
Method: DFT, PBE
State: relaxed

Calculated total energy, eV per atom: -7.473
D(E_F), states/eV/cell: 0.4

```
8
Lattice="3.464 0.000 0.000 0.000 6.027 0.119 0.000 -2.097 5.628" Properties=species:S:1:pos:R:3 pbc="T T T"
Dy 1.732 -1.049 2.814
Dy 0.000 1.965 2.873
Tm 1.732 3.014 0.060
Sb 0.000 0.000 0.000
N 1.732 1.043 1.496
N 1.732 2.886 4.251
N 0.000 -0.012 4.239
N 0.000 3.942 1.508
```



Material: SmTm4Tl2
Method: DFT, PBE
State: relaxed

Formation energy, kJ per mole of atoms: -10.4
Calculated total energy, eV per atom: -4.013
D(E_F), states/eV/cell: 17.5

```
14
Lattice="4.882 0.000 0.000 0.000 9.334 0.000 0.000 0.000 9.334" Properties=species:S:1:pos:R:3 pbc="T T T"
Sm 2.441 0.000 0.000
Sm 0.000 4.667 4.667
Tm 0.000 1.018 3.341
Tm 0.000 8.316 5.992
Tm 2.441 1.326 5.685
Tm 2.441 8.008 3.649
Tm 2.441 3.649 8.008
Tm 2.441 5.685 1.326
Tm 0.000 3.341 1.018
Tm 0.000 5.992 8.316
Tl 0.000 1.683 7.650
Tl 0.000 7.650 1.683
Tl 2.441 6.350 6.350
Tl 2.441 2.983 2.983
```



Material: MgSnF2
Method: DFT, PBE
State: relaxed

Calculated total energy, eV per atom: -3.692
Relative energy among the computed polymorphs, meV/atom: 1093
D(E_F), states/eV/cell: 0.3

```
4
Lattice="0.000 3.227 3.227 3.227 0.000 3.227 3.227 3.227 0.000" Properties=species:S:1:pos:R:3 pbc="T T T"
Mg 0.000 0.000 0.000
Sn 3.227 3.227 3.227
F 1.613 1.613 1.613
F 4.840 4.840 4.840
```



Material: Nd6GeSe3S2
Method: DFT, PBE
State: relaxed

Calculated total energy, eV per atom: -6.113
D(E_F), states/eV/cell: 5.2

```
12
Lattice="-1.330 4.002 -5.861 3.896 -6.052 -0.571 -6.671 -2.953 0.978" Properties=species:S:1:pos:R:3 pbc="T T T"
Nd -4.046 -2.123 -4.991
Nd 0.350 -2.211 -4.549
Nd -0.058 -2.880 -0.462
Nd -2.295 -5.492 -3.218
Nd -4.455 -2.791 -0.904
Nd -1.809 0.490 -2.235
Ge 0.000 0.000 0.000
Se -0.303 -5.866 -0.956
Se -3.801 0.864 -4.497
Se -2.052 -2.501 -2.726
S 2.156 -2.703 -2.333
S 0.411 0.653 -4.099
```



Material: LaTb3Sm6
Method: DFT, PBE
State: relaxed

Formation energy, kJ per mole of atoms: 14.0
Calculated total energy, eV per atom: -4.568
Relative energy among the computed polymorphs, meV/atom: 0
D(E_F), states/eV/cell: 29.7

```
20
Lattice="-0.580 -5.808 2.431 9.489 1.384 5.571 -9.646 2.905 4.637" Properties=species:S:1:pos:R:3 pbc="T T T"
La -6.036 2.010 5.069
La 5.469 -1.831 6.860
Tb 1.802 0.672 9.656
Tb -2.889 -1.882 10.657
Tb -2.345 1.811 5.209
Tb 1.797 -1.445 6.641
Tb -2.787 -4.670 4.022
Tb 1.904 -2.116 3.021
Sm 0.661 2.518 6.964
Sm -1.216 -0.260 8.103
Sm -4.336 1.305 8.257
Sm 3.378 -2.236 9.864
Sm 8.548 -0.743 6.450
Sm -4.644 -1.255 6.462
Sm 4.031 0.982 5.656
Sm -9.432 -2.240 6.803
Sm -4.261 -0.742 3.387
Sm 3.453 -4.282 4.993
Sm 0.713 1.086 3.556
Sm -1.164 -1.692 4.694
```



Material: CaSc2Mn
Method: DFT, PBE
State: relaxed

Formation energy, kJ per mole of atoms: 31.8
Calculated total energy, eV per atom: -5.629
Relative energy among the computed polymorphs, meV/atom: 216
D(E_F), states/eV/cell: 4.5

```
4
Lattice="9.855 0.000 0.000 9.275 3.333 0.000 9.275 1.616 2.915" Properties=species:S:1:pos:R:3 pbc="T T T"
Sc 0.694 0.121 0.071
Sc 13.508 2.354 1.386
Ca 7.101 1.237 0.729
Mn 21.303 3.712 2.187
```



Material: Bi5Ru3O12
Method: DFT, PBE
State: relaxed

Calculated total energy, eV per atom: -5.811
D(E_F), states/eV/cell: 42.9

```
80
Lattice="11.499 0.000 0.000 -3.833 10.841 0.000 -3.833 -5.420 9.389" Properties=species:S:1:pos:R:3 pbc="T T T"
Ru 6.707 3.388 1.174
Ru 6.707 7.453 1.174
Ru -0.958 4.743 5.868
Ru 0.958 -0.678 3.521
Ru 8.624 0.000 2.347
Ru 0.958 5.420 2.347
Ru 2.875 0.000 7.041
Ru -4.791 5.420 7.041
Ru 2.875 6.098 5.868
Ru 4.791 0.678 3.521
Ru -2.875 -2.033 8.215
Ru -2.875 2.033 8.215
Bi -0.958 2.710 2.347
Bi -1.916 5.420 0.000
Bi 0.000 0.000 0.000
Bi 2.875 2.033 1.174
Bi 3.833 -2.710 4.694
Bi 3.833 5.420 0.000
Bi -2.875 6.098 3.521
Bi 4.791 -3.388 8.215
Bi 4.791 4.743 3.521
Bi 0.958 -2.710 7.041
Bi 2.875 8.131 2.347
Bi 1.916 2.710 4.694
Bi 5.749 0.000 0.000
Bi -1.916 -2.710 4.694
Bi -0.958 0.678 5.868
Bi -0.958 8.808 1.174
Bi -3.833 2.710 4.694
Bi 6.707 -0.678 5.868
Bi 0.958 3.388 8.215
Bi 4.791 2.710 7.041
O 7.783 0.932 0.651
O -0.117 3.740 4.213
O 8.251 2.704 2.439
O 5.164 1.950 1.133
O 1.716 4.388 6.298
O 7.933 5.051 1.604
O -0.586 6.175 3.572
O -3.247 8.891 1.133
O 0.201 6.453 6.298
O 5.482 5.790 1.604
O 5.632 2.612 3.562
O 5.632 9.909 0.651
O -3.632 4.938 5.345
O 2.184 4.216 1.122
O -3.716 8.229 3.562
O 1.799 -1.680 5.176
O -0.201 0.550 2.255
O 2.184 6.994 0.482
O 5.164 8.137 2.439
O -0.268 3.847 0.482
O -2.117 5.971 7.133
O 2.502 4.666 3.572
O 5.548 5.903 5.345
O 4.100 -1.204 8.266
O 1.331 0.754 5.817
O -1.716 -0.482 4.043
O -0.268 6.624 1.122
O -1.331 -2.716 6.949
O 5.950 -0.550 2.255
O 4.100 1.574 8.907
O 1.649 -1.574 8.907
O 2.034 7.101 4.213
O 4.034 4.870 7.133
O 7.549 -2.808 5.827
O 7.465 0.482 4.043
O -1.799 -4.488 8.737
O 1.649 1.204 8.266
O 3.632 -1.032 3.090
O -1.649 -0.370 7.785
O -1.799 2.808 5.827
O 7.080 -3.471 8.256
O 4.418 -0.754 5.817
O -1.331 3.471 8.256
O -4.100 0.370 7.785
O 2.117 1.032 3.090
O -4.418 2.716 6.949
O 3.950 1.680 5.176
O -3.950 4.488 8.737
```



Material: SnTe2C
Method: DFT, PBE
State: relaxed

Calculated total energy, eV per atom: -3.965
Relative energy among the computed polymorphs, meV/atom: 0
D(E_F), states/eV/cell: 2.3

```
8
Lattice="-2.264 -6.452 1.786 4.370 0.005 5.554 -1.969 -1.505 6.047" Properties=species:S:1:pos:R:3 pbc="T T T"
C 1.053 -3.224 3.670
C 1.727 -2.362 7.636
Te -1.139 -3.777 3.148
Te 1.734 -1.812 5.381
Te -0.259 -3.546 7.832
Te -0.062 -6.771 10.414
Sn 0.000 0.000 0.000
Sn -1.590 -5.591 5.752
```



Material: Hf2CoHN
Method: DFT, PBE
State: relaxed

Calculated total energy, eV per atom: -7.068
D(E_F), states/eV/cell: 3.8

```
5
Lattice="4.874 0.000 0.000 0.000 3.387 0.000 0.000 0.000 4.874" Properties=species:S:1:pos:R:3 pbc="T T T"
Co 0.000 0.000 0.000
Hf 0.000 0.000 2.437
Hf 2.437 0.000 0.000
H 2.437 1.694 2.437
N 0.000 1.694 0.000
```



Material: PaAgTe3Pd
Method: DFT, PBE
State: relaxed

Calculated total energy, eV per atom: -5.036
D(E_F), states/eV/cell: 1.7

```
12
Lattice="-0.935 -2.184 3.323 6.603 -4.051 -0.804 4.328 7.166 5.928" Properties=species:S:1:pos:R:3 pbc="T T T"
Pa 2.070 0.832 2.385
Pa 7.926 0.099 6.062
Ag 4.855 -1.494 1.639
Ag 5.141 2.426 6.807
Te 5.932 -4.208 2.670
Te 4.064 5.139 5.777
Te 6.609 0.142 3.209
Te 3.387 0.789 5.238
Te 2.391 -2.182 3.004
Te 7.605 3.114 5.442
Pd 2.742 3.335 4.219
Pd 7.254 -2.403 4.228
```



Material: V2Ni2Sb
Method: DFT, PBE
State: relaxed

Calculated total energy, eV per atom: -6.771
D(E_F), states/eV/cell: 11.3

```
10
Lattice="-0.496 0.766 -6.372 -4.173 -4.895 -0.264 -2.598 2.189 0.465" Properties=species:S:1:pos:R:3 pbc="T T T"
Sb 0.000 0.000 0.000
Sb -2.334 -2.064 -3.318
Ni -3.825 -3.986 -2.604
Ni -3.051 -2.403 -5.725
Ni -0.843 -0.143 -4.032
Ni -1.618 -1.726 -0.911
V -4.142 -2.022 -0.976
V -5.123 -2.499 -4.208
V -3.124 0.083 -5.195
V -2.143 0.559 -1.963
```



Material: NdSb3Te6
Method: DFT, PBE
State: relaxed

Calculated total energy, eV per atom: -4.042

```
20
Lattice="4.321 0.000 0.000 0.000 12.462 -4.258 0.000 -0.084 13.077" Properties=species:S:1:pos:R:3 pbc="T T T"
Nd 3.240 0.446 8.914
Nd 1.080 11.932 -0.095
Sb 3.240 5.457 9.140
Sb 1.080 6.922 -0.322
Sb 3.240 8.690 2.977
Sb 1.080 3.688 5.841
Sb 3.240 1.825 0.756
Sb 1.080 10.553 8.062
Te 3.240 5.766 6.184
Te 1.080 6.612 2.635
Te 3.240 11.540 -2.577
Te 1.080 0.838 11.396
Te 3.240 4.935 -0.709
Te 1.080 7.443 9.527
Te 3.240 9.406 0.170
Te 1.080 2.972 8.649
Te 3.240 1.295 5.740
Te 1.080 11.083 3.079
Te 3.240 9.917 6.186
Te 1.080 2.461 2.633
```